First-principles (PBE) data for AcSmAlAg after structural relaxation, as listed in the Alexandria database.

Structure (POSCAR):
```
AcSmAlAg
1.0
5.4513 0.0000 0.0000
2.7256 4.7210 0.0000
2.7256 1.5737 4.4510
Sm Ag Al Ac
1 1 1 1
Direct
0.5000 0.5000 0.5000 Sm
0.2500 0.2500 0.2500 Ag
0.7500 0.7500 0.7500 Al
0.0000 0.0000 0.0000 Ac
```

ΔE_f: -0.23 eV per atom
Symmetry: F-43m, No. 216
E_tot: -4.09 eV/atom